# ScPbN2O (PBE-GGA, relaxed)
data_ScPbN2O
_space_group_name_H-M_alt 'P 4/m m m'
_space_group_IT_number 123
_space_group_name_Hall '-P 4 2'
_cell_length_a 4.217
_cell_length_b 4.217
_cell_length_c 4.215
_cell_angle_alpha 90.00
_cell_angle_beta 90.00
_cell_angle_gamma 90.00
loop_
_atom_site_label
_atom_site_fract_x
_atom_site_fract_y
_atom_site_fract_z
_atom_site_occupancy
Sc1 0.000 0.000 0.000 1
Pb1 0.500 0.500 0.500 1
N1 0.000 0.500 0.500 1
O1 0.500 0.500 0.000 1
# formation energy (no corrections): 0.530 eV/atom


# CdHgSb3 (PBE-GGA, relaxed)
data_CdHgSb3
_space_group_name_H-M_alt 'P m -3 m'
_space_group_IT_number 221
_space_group_name_Hall '-P 4 2 3'
_cell_length_a 5.576
_cell_length_b 5.576
_cell_length_c 5.576
_cell_angle_alpha 90.00
_cell_angle_beta 90.00
_cell_angle_gamma 90.00
loop_
_atom_site_label
_atom_site_fract_x
_atom_site_fract_y
_atom_site_fract_z
_atom_site_occupancy
Cd1 0.000 0.000 0.000 1
Hg1 0.500 0.500 0.500 1
Sb1 0.000 0.000 0.500 1
# E above lowest polymorph: 0.00 eV/f.u.
# formation energy (no corrections): 0.726 eV/atom


# Ba2NiAgN (PBE-GGA, relaxed)
data_Ba2NiAgN
_space_group_name_H-M_alt 'P 4/m m m'
_space_group_IT_number 123
_space_group_name_Hall '-P 4 2'
_cell_length_a 6.117
_cell_length_b 6.117
_cell_length_c 3.940
_cell_angle_alpha 90.00
_cell_angle_beta 90.00
_cell_angle_gamma 90.00
loop_
_atom_site_label
_atom_site_fract_x
_atom_site_fract_y
_atom_site_fract_z
_atom_site_occupancy
Ba1 0.000 0.500 0.000 1
Ni1 0.000 0.000 0.500 1
Ag1 0.500 0.500 0.000 1
N1 0.500 0.500 0.500 1
# E above lowest polymorph: 4.60 eV/f.u.
# formation energy (no corrections): 0.573 eV/atom


# Ta2Zn2Rh3 (PBE-GGA, relaxed)
data_Ta2Zn2Rh3
_space_group_name_H-M_alt 'P -1'
_space_group_IT_number 2
_space_group_name_Hall '-P 1'
_cell_length_a 4.431
_cell_length_b 4.431
_cell_length_c 7.253
_cell_angle_alpha 89.96
_cell_angle_beta 72.25
_cell_angle_gamma 60.09
loop_
_atom_site_label
_atom_site_fract_x
_atom_site_fract_y
_atom_site_fract_z
_atom_site_occupancy
Ta1 0.226 0.388 0.162 1
Zn1 0.262 0.869 0.605 1
Rh1 0.000 0.000 0.000 1
Rh2 0.481 0.259 0.777 1
# energy of formation from the pure elements: -2.534 eV per formula unit


# Tb2SmPd3 (PBE-GGA, relaxed)
data_Tb2SmPd3
_space_group_name_H-M_alt 'C m m m'
_space_group_IT_number 65
_space_group_name_Hall '-C 2 2'
_cell_length_a 5.061
_cell_length_b 15.215
_cell_length_c 3.461
_cell_angle_alpha 90.00
_cell_angle_beta 90.00
_cell_angle_gamma 90.00
loop_
_atom_site_label
_atom_site_fract_x
_atom_site_fract_y
_atom_site_fract_z
_atom_site_occupancy
Tb1 0.000 0.167 0.000 1
Sm1 0.000 0.500 0.000 1
Pd1 0.000 0.000 0.500 1
Pd2 0.000 0.329 0.500 1
# energy of formation from the pure elements: -5.054 eV per formula unit


# NaWSN2 (PBE-GGA, relaxed)
data_NaWSN2
_space_group_name_H-M_alt 'P 4/m m m'
_space_group_IT_number 123
_space_group_name_Hall '-P 4 2'
_cell_length_a 3.942
_cell_length_b 3.942
_cell_length_c 4.967
_cell_angle_alpha 90.00
_cell_angle_beta 90.00
_cell_angle_gamma 90.00
loop_
_atom_site_label
_atom_site_fract_x
_atom_site_fract_y
_atom_site_fract_z
_atom_site_occupancy
Na1 0.000 0.000 0.000 1
W1 0.500 0.500 0.500 1
S1 0.500 0.500 0.000 1
N1 0.000 0.500 0.500 1
# E above lowest polymorph: 0.00 eV/f.u.
# formation energy (no corrections): -0.111 eV/atom


no.,N(E_F) (states/eV/f.u.)
1,3.371
2,5.129
3,0.779
4,3.325
5,3.050
6,3.118